*A*
Compound: MoIrO2
Source: Alexandria via LeMat-Bulk
Functional: GGA-PBEsol
Structure: optimized geometry

Calculated values
Magnetization, μB/cell: 0.004
V, Å³/cell: 183.52

Cell: 3.778 3.778 12.858 Å, 90.00 90.00 90.00°
Space group I-42d (No. 122)
Symmetry-distinct sites (fractional):
1 Mo 0.000 0.000 0.000 x4
2 Ir 0.000 0.000 0.500 x4
3 O 0.228 0.250 0.125 x8



*B*
Compound: MoIrO2
Source: Alexandria via LeMat-Bulk
Functional: GGA-PBEsol
Structure: optimized geometry

Calculated values
Magnetization, μB/cell: 0.002
V, Å³/cell: 167.67

Cell: 5.514 5.514 5.514 Å, 90.00 90.00 90.00°
Space group Fm-3m (No. 225)
Symmetry-distinct sites (fractional):
1 Mo 0.000 0.000 0.000 x4
2 Ir 0.000 0.000 0.500 x4
3 O 0.250 0.250 0.250 x8



Most stable: *A* (next structure +782 meV/atom)



*A*
Compound: Mo2IrPt
Source: Alexandria via LeMat-Bulk
Functional: GGA-PBEsol
Structure: optimized geometry

Calculated values
Magnetization, μB/cell: 0.000
V, Å³/cell: 60.31

Cell: 3.281 3.281 5.604 Å, 90.00 90.00 90.00°
Space group P4mm (No. 99)
Symmetry-distinct sites (fractional):
1 Mo 0.000 0.000 0.000 x1
2 Mo 0.500 0.500 0.272 x1
3 Ir 0.500 0.500 0.776 x1
4 Pt 0.000 0.000 0.515 x1



*B*
Compound: Mo2IrPt
Source: Alexandria via LeMat-Bulk
Functional: GGA-PBEsol
Structure: optimized geometry

Calculated values
Magnetization, μB/cell: 0.000
V, Å³/cell: 58.74

Cell: 2.715 2.715 7.971 Å, 90.00 90.00 90.00°
Space group P4/mmm (No. 123)
Symmetry-distinct sites (fractional):
1 Mo 0.000 0.000 0.244 x2
2 Ir 0.500 0.500 0.000 x1
3 Pt 0.500 0.500 0.500 x1



Most stable: *B* (next structure +307 meV/atom)



*A*
Compound: Re2MoIr
Source: Alexandria via LeMat-Bulk
Functional: GGA-PBEsol
Structure: optimized geometry

Calculated values
Magnetization, μB/cell: 0.000
V, Å³/cell: 116.51

Cell: 3.872 3.872 7.771 Å, 90.00 90.00 90.00°
Space group I-4m2 (No. 119)
Symmetry-distinct sites (fractional):
1 Re 0.000 0.000 0.000 x2
2 Re 0.000 0.500 0.250 x2
3 Mo 0.000 0.000 0.500 x2
4 Ir 0.000 0.500 0.750 x2



*B*
Compound: Re2MoIr
Source: Alexandria via LeMat-Bulk
Functional: GGA-PBEsol
Structure: optimized geometry

Calculated values
Magnetization, μB/cell: 0.000
V, Å³/cell: 58.20

Cell: 2.741 4.428 4.795 Å, 90.00 90.00 90.00°
Space group Pmm2 (No. 25)
Symmetry-distinct sites (fractional):
1 Re 0.000 0.000 0.000 x1
2 Re 0.500 0.500 0.165 x1
3 Mo 0.000 0.500 0.666 x1
4 Ir 0.500 0.000 0.504 x1



Most stable: *B* (next structure +52 meV/atom)



*A*
Compound: MoIrRh
Source: Alexandria via LeMat-Bulk
Functional: GGA-PBEsol
Structure: optimized geometry

Calculated values
Magnetization, μB/cell: 0.000
V, Å³/cell: 85.09

Cell: 2.702 3.847 8.186 Å, 90.00 90.00 90.00°
Space group Imm2 (No. 44)
Symmetry-distinct sites (fractional):
1 Mo 0.000 0.000 0.000 x2
2 Ir 0.000 0.000 0.336 x2
3 Rh 0.000 0.000 0.668 x2



*B*
Compound: MoIrRh
Source: Alexandria via LeMat-Bulk
Functional: GGA-PBEsol
Structure: optimized geometry

Calculated values
Magnetization, μB/cell: 0.000
V, Å³/cell: 43.11

Cell: 4.3022 4.3022 2.6895 Å, 90.00 90.00 120.00°
Space group P-6m2 (No. 187)
Symmetry-distinct sites (fractional):
1 Mo 0.0000 0.0000 0.0000 x1
2 Ir 0.6667 0.3333 0.5000 x1
3 Rh 0.3333 0.6667 0.0000 x1



Most stable: *A* (next structure +139 meV/atom)